A relaxed structure of AlTl2Cr. Source: the Alexandria database, functional PBE.

Lattice parameters (Å, degrees): 5.073 3.272 5.540 87.65 90.00 90.00
Each line ends with the local moment (μB).
Atoms (fractional coordinates):
Cr (0.500, 0.750, 0.750)  3.75
Tl (0.000, 0.005, 0.998)  -0.02
Tl (0.000, 0.495, 0.502)  -0.02
Al (0.500, 0.250, 0.250)  -0.04

Calculated values
Mass density, Mg/m³: 8.8
Energy relative to the lowest polymorph listed for this composition, meV/atom: 212
Energy relative to the elements, eV/atom: 0.53

A relaxed structure of GaTc3B. Source: the Alexandria database, functional PBE.

Lattice parameters (Å, degrees): 4.522 4.522 4.522 90.00 90.00 90.00
Each line ends with the local moment (μB).
Atoms (fractional coordinates):
B (0.500, 0.500, 0.500)  -0.07
Tc (0.000, 0.500, 0.000)  1.23
Tc (0.000, 0.000, 0.500)  1.62
Tc (0.500, 0.000, 0.000)  1.04
Ga (0.000, 0.000, 0.000)  0.02

Calculated values
Mass density, Mg/m³: 6.7
Energy relative to the lowest polymorph listed for this composition, meV/atom: 2203
Energy relative to the elements, eV/atom: 2.34